No. 1
In2CuCl: relaxed, PBE. Values from VASP.

The structure in Quantum ESPRESSO input format:
```
&SYSTEM
  ibrav = 0, nat = 4, ntyp = 3
/
ATOMIC_SPECIES
In 114.82 In.upf
Cu 63.55 Cu.upf
Cl 35.45 Cl.upf
CELL_PARAMETERS angstrom
4.676 0.000 0.000
0.000 5.760 0.000
0.000 0.000 3.524
ATOMIC_POSITIONS angstrom
In 0.000 0.000 0.000
In 2.338 2.880 1.757
Cu 0.000 2.880 3.515
Cl 2.338 0.000 1.762
```

No. 2
In2CuCl: relaxed, PBE. Values from VASP.

The structure in Quantum ESPRESSO input format:
```
&SYSTEM
  ibrav = 0, nat = 8, ntyp = 3
/
ATOMIC_SPECIES
In 114.82 In.upf
Cu 63.55 Cu.upf
Cl 35.45 Cl.upf
CELL_PARAMETERS angstrom
-3.232 3.232 6.207
3.232 -3.232 6.207
3.232 3.232 -6.207
ATOMIC_POSITIONS angstrom
In 4.847 1.271 -1.552
In 1.271 1.616 1.552
In -1.616 1.961 4.655
In 1.961 1.616 7.758
Cu 0.000 0.000 0.000
Cu 0.000 3.232 3.103
Cl 3.232 0.000 3.103
Cl 0.000 0.000 6.207
```

No. 3
InCuCl2: relaxed, PBE. Values from VASP.

The structure in Quantum ESPRESSO input format:
```
&SYSTEM
  ibrav = 0, nat = 4, ntyp = 3
/
ATOMIC_SPECIES
In 114.82 In.upf
Cu 63.55 Cu.upf
Cl 35.45 Cl.upf
CELL_PARAMETERS angstrom
3.866 0.000 0.000
0.000 4.125 0.000
0.000 0.000 6.315
ATOMIC_POSITIONS angstrom
In 0.000 0.000 0.000
Cu 0.000 2.062 3.157
Cl 1.933 0.000 3.157
Cl 1.933 2.062 0.000
```

No. 4
InCu3Cl9: relaxed, PBE. Values from VASP.

The structure in Quantum ESPRESSO input format:
```
&SYSTEM
  ibrav = 0, nat = 26, ntyp = 3
/
ATOMIC_SPECIES
In 114.82 In.upf
Cu 63.55 Cu.upf
Cl 35.45 Cl.upf
CELL_PARAMETERS angstrom
9.272 -3.689 0.000
9.272 3.689 0.000
-7.700 0.000 10.519
ATOMIC_POSITIONS angstrom
In 5.422 1.935 5.260
In 9.272 -1.935 0.000
Cu -3.829 0.971 8.817
Cu 1.532 0.777 7.091
Cu 0.020 -0.971 3.558
Cu 5.382 -0.777 1.831
Cu 12.016 0.260 2.516
Cu 8.167 -0.260 7.776
Cl 0.931 0.217 1.795
Cl 7.030 2.868 3.501
Cl -2.919 -0.217 7.054
Cl 4.574 0.744 0.404
Cl 3.768 1.011 7.020
Cl 4.440 0.186 3.690
Cl 0.725 -0.744 5.663
Cl 0.590 -0.186 8.950
Cl 10.024 0.593 3.428
Cl 7.261 0.114 5.767
Cl 7.618 -1.011 1.761
Cl 11.111 -0.114 0.507
Cl 13.939 0.806 1.548
Cl 6.174 -0.593 8.687
Cl 12.925 0.031 4.574
Cl 9.075 -0.031 9.834
Cl 3.181 -2.868 8.760
Cl 10.089 -0.806 6.808
```

No. 5
InCu3Cl: relaxed, PBE. Values from VASP.

The structure in Quantum ESPRESSO input format:
```
&SYSTEM
  ibrav = 0, nat = 5, ntyp = 3
/
ATOMIC_SPECIES
In 114.82 In.upf
Cu 63.55 Cu.upf
Cl 35.45 Cl.upf
CELL_PARAMETERS angstrom
4.947 0.000 0.000
0.000 4.947 0.000
0.000 0.000 4.947
ATOMIC_POSITIONS angstrom
In 0.000 0.000 0.000
Cu 0.000 0.000 2.474
Cu 0.000 2.474 0.000
Cu 2.474 0.000 0.000
Cl 2.474 2.474 2.474
```

No. 6
InCuCl2: relaxed, PBE. Values from VASP.

The structure in Quantum ESPRESSO input format:
```
&SYSTEM
  ibrav = 0, nat = 4, ntyp = 3
/
ATOMIC_SPECIES
In 114.82 In.upf
Cu 63.55 Cu.upf
Cl 35.45 Cl.upf
CELL_PARAMETERS angstrom
1.760 -3.350 0.000
1.760 3.350 0.000
0.000 0.000 8.319
ATOMIC_POSITIONS angstrom
In 0.000 0.000 0.000
Cu 0.000 0.000 4.160
Cl 1.760 0.000 2.561
Cl 1.760 0.000 5.758
```

No. 7
In2CuCl: relaxed, PBE. Values from VASP.

The structure in Quantum ESPRESSO input format:
```
&SYSTEM
  ibrav = 0, nat = 4, ntyp = 3
/
ATOMIC_SPECIES
In 114.82 In.upf
Cu 63.55 Cu.upf
Cl 35.45 Cl.upf
CELL_PARAMETERS angstrom
-2.063 2.063 5.856
2.063 -2.063 5.856
2.063 2.063 -5.856
ATOMIC_POSITIONS angstrom
In 0.000 0.000 0.000
In 0.000 2.063 2.928
Cu 0.000 0.000 5.856
Cl 2.063 0.000 2.928
```

No. 8
InCu4Cl: relaxed, PBE. Values from VASP.

The structure in Quantum ESPRESSO input format:
```
&SYSTEM
  ibrav = 0, nat = 6, ntyp = 3
/
ATOMIC_SPECIES
In 114.82 In.upf
Cu 63.55 Cu.upf
Cl 35.45 Cl.upf
CELL_PARAMETERS angstrom
0.000 3.624 3.624
3.624 0.000 3.624
3.624 3.624 0.000
ATOMIC_POSITIONS angstrom
In 0.000 0.000 0.000
Cu 2.718 2.718 2.718
Cu 4.530 4.530 2.718
Cu 4.530 2.718 4.530
Cu 2.718 4.530 4.530
Cl 5.436 5.436 5.436
```

No. 9
In2CuCl: relaxed, PBE. Values from VASP.

The structure in Quantum ESPRESSO input format:
```
&SYSTEM
  ibrav = 0, nat = 4, ntyp = 3
/
ATOMIC_SPECIES
In 114.82 In.upf
Cu 63.55 Cu.upf
Cl 35.45 Cl.upf
CELL_PARAMETERS angstrom
3.288 0.000 0.000
0.000 3.482 0.000
-0.020 0.000 7.811
ATOMIC_POSITIONS angstrom
In 0.000 0.000 1.605
In 3.268 0.000 6.206
Cu 1.644 1.741 0.000
Cl -0.010 1.741 3.906
```

No. 10
In2CuCl: relaxed, PBE. Values from VASP.

The structure in Quantum ESPRESSO input format:
```
&SYSTEM
  ibrav = 0, nat = 4, ntyp = 3
/
ATOMIC_SPECIES
In 114.82 In.upf
Cu 63.55 Cu.upf
Cl 35.45 Cl.upf
CELL_PARAMETERS angstrom
3.419 0.000 0.000
0.000 4.602 0.000
0.000 0.000 6.133
ATOMIC_POSITIONS angstrom
In 0.000 0.000 0.000
In 1.710 0.000 3.066
Cu 0.000 2.301 3.066
Cl 1.710 2.301 0.000
```

No. 11
InCuCl2: relaxed, PBE. Values from VASP.

The structure in Quantum ESPRESSO input format:
```
&SYSTEM
  ibrav = 0, nat = 4, ntyp = 3
/
ATOMIC_SPECIES
In 114.82 In.upf
Cu 63.55 Cu.upf
Cl 35.45 Cl.upf
CELL_PARAMETERS angstrom
0.000 3.523 3.523
3.523 0.000 3.523
3.523 3.523 0.000
ATOMIC_POSITIONS angstrom
In 0.000 0.000 0.000
Cu 1.761 1.761 1.761
Cl 3.523 3.523 3.523
Cl 5.284 5.284 5.284
```

No. 12
In2Cu2Cl: relaxed, PBE. Values from VASP.

The structure in Quantum ESPRESSO input format:
```
&SYSTEM
  ibrav = 0, nat = 5, ntyp = 3
/
ATOMIC_SPECIES
In 114.82 In.upf
Cu 63.55 Cu.upf
Cl 35.45 Cl.upf
CELL_PARAMETERS angstrom
-1.736 1.736 8.916
1.736 -1.736 8.916
1.736 1.736 -8.916
ATOMIC_POSITIONS angstrom
In 0.000 0.000 2.117
In 0.000 0.000 15.716
Cu 1.736 0.000 4.458
Cu 0.000 1.736 4.458
Cl 0.000 0.000 8.916
```

What did we get for raw formation energy? Answer: -0.7; -0.3; -0.8; -7.7; 4.1; -1.8; -0.1; 0.7; -0.8; 0.0; 0.0; -0.2 eV per formula unit, in the order shown.